Entry 1:
Density functional theory data (GGA-PBE) for Hf2NpPt after structural relaxation.

The calculation puts the magnetization at 4.7 μB/f.u. Its energy relative to the lowest polymorph listed for this composition is 1.188 eV/f.u. The value obtained for the total energy is -9.75 eV per atom. The volume is 19.79 A^3/atom. The calculation puts the formation energy at -0.031 eV per atom.

It has space group Fm-3m (No. 225), with a = 6.8155 Å, b = 6.8155 Å, c = 6.8155 Å, α = 90.00°, β = 90.00° and γ = 90.00°. Symmetry generates all atoms from Hf at (0.2500, 0.2500, 0.2500), Np at (0.0000, 0.0000, 0.0000) and Pt at (0.0000, 0.0000, 0.5000).

Entry 2:
Density functional theory data (GGA-PBE) for Pm2BeZnAu6 after structural relaxation.

The calculation puts the magnetization at 0.0 μB/f.u. The value obtained for the total energy is -3.87 eV per atom. The volume is 20.98 A^3/atom. The calculation puts the formation energy at -0.453 eV per atom.

It has space group P-1 (No. 2), with a = 6.1436 Å, b = 6.4206 Å, c = 6.9183 Å, α = 67.50°, β = 63.68° and γ = 61.48°. Symmetry generates all atoms from Pm at (0.2164, 0.2413, 0.3256), Be at (0.0000, 0.0000, 0.0000), Zn at (0.5000, 0.5000, 0.5000), Au at (0.2427, 0.6411, 0.8738), Au at (0.2565, 0.7897, 0.2199) and Au at (0.2674, 0.2091, 0.7816).

- Which of these has the highest magnetization?
  Hf2NpPt